[1]
A plane-wave DFT calculation with PBE was carried out for an optimized crystal structure of KHgPt2.

POSCAR file:
```
KHgPt2
1.0
-1.361 0.859 2.438
1.417 -4.421 2.348
4.415 2.294 1.656
K Pt Hg
1 2 1
direct
0.000 0.500 0.500
0.500 0.500 0.000
0.000 0.000 0.000
0.500 0.000 0.500
```

Results
V ... 19.9 Å³ per atom
Magnetic moment ... 0.00 Bohr magnetons per cell
E_tot ... -3.1379 eV per atom
D(E_F) ... 0.6651 states/eV/atom

[2]
A plane-wave DFT calculation with PBE was carried out for an optimized crystal structure of BeCd2Ru.

POSCAR file:
```
BeCd2Ru
1.0
-0.422 0.646 4.966
-3.090 -3.846 -2.110
1.375 -2.343 0.812
Cd Ru Be
2 1 1
direct
0.500 0.000 0.500
0.000 0.000 0.000
0.000 0.500 0.500
0.500 0.500 0.000
```

Results
V ... 16.3 Å³ per atom
Magnetic moment ... 1.01 Bohr magnetons per cell
E_tot ... -3.2655 eV per atom
D(E_F) ... 0.4415 states/eV/atom

[3]
A plane-wave DFT calculation with PBE was carried out for an optimized crystal structure of BaTaCu2.

POSCAR file:
```
BaTaCu2
1.0
0.000 3.509 3.509
3.509 0.000 3.509
3.509 3.509 0.000
Cu Ta Ba
2 1 1
direct
0.250 0.250 0.250
0.750 0.750 0.750
0.500 0.500 0.500
0.000 0.000 0.000
```

Results
V ... 21.6 Å³ per atom
Magnetic moment ... 1.63 Bohr magnetons per cell
E_tot ... -4.5942 eV per atom
ΔE to the lowest computed polymorph ... 562 meV per atom
D(E_F) ... 1.0246 states/eV/atom

[4]
A plane-wave DFT calculation with PBE was carried out for an optimized crystal structure of Pm4AgO7.

POSCAR file:
```
Pm4AgO7
1.0
-3.615 -0.063 -1.978
-1.388 -6.503 -1.550
-5.008 -0.785 4.885
Pm O Ag
4 7 1
direct
0.412 0.776 0.399
0.250 0.339 0.161
0.588 0.224 0.601
0.750 0.661 0.839
0.798 0.853 0.552
0.637 0.420 0.307
0.202 0.147 0.448
0.363 0.580 0.693
0.500 0.000 0.000
0.906 0.305 0.884
0.094 0.695 0.116
0.000 0.000 0.000
```

Results
V ... 15.0 Å³ per atom
Energy relative to the elements, uncorrected ... -2.81 eV per atom
Magnetic moment ... 0.00 Bohr magnetons per cell
E_tot ... -7.5257 eV per atom
D(E_F) ... 0.1168 states/eV/atom

[5]
A plane-wave DFT calculation with PBE was carried out for an optimized crystal structure of Cs3Np3BiS8.

POSCAR file:
```
Cs3Np3BiS8
1.0
8.249 0.000 0.000
-4.125 7.144 -0.027
0.000 -4.734 8.147
Np S Bi Cs
3 8 1 3
direct
0.000 0.500 0.500
0.500 0.500 0.500
0.500 0.000 0.500
0.232 0.948 0.679
0.284 0.052 0.321
0.768 0.537 0.321
0.716 0.948 0.679
0.232 0.463 0.679
0.768 0.052 0.321
0.726 0.451 0.676
0.274 0.549 0.324
0.000 0.000 0.500
0.000 0.000 0.000
0.500 0.500 0.000
0.000 0.500 0.000
```

Results
V ... 31.9 Å³ per atom
Energy relative to the elements, uncorrected ... -1.22 eV per atom
Magnetic moment ... 11.00 Bohr magnetons per cell
E_tot ... -6.4394 eV per atom
D(E_F) ... 1.8981 states/eV/atom

[6]
A plane-wave DFT calculation with PBE was carried out for an optimized crystal structure of Sc3Co.

POSCAR file:
```
Sc3Co
1.0
-2.319 0.839 -2.200
0.965 -3.150 0.264
-5.218 -2.751 6.934
Sc Co
3 1
direct
0.271 0.729 0.813
0.500 0.500 0.500
0.729 0.271 0.187
0.000 0.000 0.000
```

Results
V ... 21.0 Å³ per atom
Magnetic moment ... 0.52 Bohr magnetons per cell
E_tot ... -6.5004 eV per atom
D(E_F) ... 1.4625 states/eV/atom